5
Lattice="4.931 0.000 0.000 0.000 4.931 0.000 0.000 0.000 4.363" Properties=species:S:1:pos:R:3 comment="LiY2CdC GGA-PBE relaxed" formation_enthalpy_0k_ev_per_atom=-0.1306 n_ef_per_ev_cell=4.46 vol_a3_per_cell=106.1 pbc="T T T"
Li 0.000 0.000 0.000
Y 0.000 2.466 2.181
Y 2.466 0.000 2.181
Cd 2.466 2.466 0.000
C 0.000 0.000 2.181

9
Lattice="5.451 -2.540 0.000 5.451 2.540 0.000 -3.693 0.000 9.087" Properties=species:S:1:pos:R:3 comment="Nd4Mg2Cd3 GGA-PBE relaxed" formation_enthalpy_0k_ev_per_atom=-0.1912 n_ef_per_ev_cell=8.61 vol_a3_per_cell=251.7 pbc="T T T"
Nd -0.806 0.000 3.150
Nd 3.375 0.000 0.965
Nd 3.834 0.000 8.121
Nd 8.015 0.000 5.937
Mg 0.470 0.000 6.677
Mg 6.739 0.000 2.410
Cd 0.000 0.000 0.000
Cd 2.248 0.000 4.003
Cd 4.961 0.000 5.084

4
Lattice="3.770 0.000 0.000 0.000 6.030 0.000 0.000 0.000 6.137" Properties=species:S:1:pos:R:3 comment="Ca2LaCl GGA-PBE relaxed" n_ef_per_ev_cell=4.14 vol_a3_per_cell=139.5 e_above_lowest_polymorph_ev_per_atom=0.4486 e_form_raw_ev_per_atom=-0.362 pbc="T T T"
Ca 0.000 0.000 0.000
Ca 1.885 3.015 0.000
La 0.000 3.015 3.068
Cl 1.885 0.000 3.068

10
Lattice="4.875 -5.889 0.000 4.875 5.889 0.000 -2.811 0.000 5.481" Properties=species:S:1:pos:R:3 comment="Pr2SmSc2 GGA-PBE relaxed" formation_enthalpy_0k_ev_per_atom=0.1660 n_ef_per_ev_cell=16.14 vol_a3_per_cell=314.7 e_above_lowest_polymorph_ev_per_atom=0.0536 pbc="T T T"
Pr 1.130 3.288 4.431
Pr 4.404 3.288 3.791
Pr 2.536 -3.288 1.690
Pr 5.809 -3.288 1.050
Sm 4.172 0.609 1.370
Sm 2.767 -0.609 4.111
Sc -0.556 0.633 3.898
Sc 0.850 -0.633 1.157
Sc 6.090 0.633 4.324
Sc 7.495 -0.633 1.583

5
Lattice="4.235 0.000 0.000 0.000 4.235 0.000 0.000 0.000 4.235" Properties=species:S:1:pos:R:3 comment="ScRuF3 GGA-PBE relaxed" n_ef_per_ev_cell=6.21 vol_a3_per_cell=76.0 e_above_lowest_polymorph_ev_per_atom=0.7775 e_form_raw_ev_per_atom=-1.013 pbc="T T T"
Sc 0.000 0.000 0.000
Ru 2.118 2.118 2.118
F 0.000 2.118 2.118
F 2.118 0.000 2.118
F 2.118 2.118 0.000

24
Lattice="11.758 0.000 0.000 0.000 4.644 0.000 0.000 0.000 4.248" Properties=species:S:1:pos:R:3 comment="Be4H7Cl GGA-PBE relaxed" n_ef_per_ev_cell=0.00 vol_a3_per_cell=232.0 dft_energy_ev_per_atom=-3.567 pbc="T T T"
Be 1.100 0.034 0.000
Be 2.901 3.095 1.240
Be 2.978 1.549 3.364
Be 4.779 4.610 2.124
Be 6.979 4.610 2.124
Be 8.781 1.549 3.364
Be 8.857 3.095 1.240
Be 10.659 0.034 0.000
H 0.000 4.006 3.551
H 1.676 3.712 0.875
H 1.927 0.590 3.230
H 2.624 2.714 2.600
H 3.255 1.930 0.476
H 3.952 4.054 1.107
H 4.203 0.932 2.999
H 5.879 0.638 1.427
H 7.555 0.932 2.999
H 7.806 4.054 1.107
H 8.503 1.930 0.476
H 9.134 2.714 2.600
H 9.831 0.590 3.230
H 10.082 3.712 0.875
Cl 0.000 1.329 1.076
Cl 5.879 3.316 3.200

8
Lattice="7.226 0.000 0.000 0.000 13.836 0.000 -1.514 0.000 3.070" Properties=species:S:1:pos:R:3 comment="K2SrTa GGA-PBE relaxed" formation_enthalpy_0k_ev_per_atom=1.1951 n_ef_per_ev_cell=8.28 vol_a3_per_cell=306.9 e_above_lowest_polymorph_ev_per_atom=0.2472 pbc="T T T"
K 1.807 3.459 0.000
K 1.807 10.377 0.000
K 5.420 3.459 0.000
K 5.420 10.377 0.000
Sr -0.757 0.000 1.535
Sr 2.856 6.918 1.535
Ta -0.757 6.918 1.535
Ta 2.856 0.000 1.535

5
Lattice="5.109 0.000 0.000 0.000 5.109 0.000 0.000 0.000 5.109" Properties=species:S:1:pos:R:3 comment="Li3CaSn GGA-PBE relaxed" formation_enthalpy_0k_ev_per_atom=-0.1303 n_ef_per_ev_cell=1.74 vol_a3_per_cell=133.4 e_above_lowest_polymorph_ev_per_atom=0.1347 pbc="T T T"
Li 0.000 0.000 2.555
Li 0.000 2.555 0.000
Li 2.555 0.000 0.000
Ca 2.555 2.555 2.555
Sn 0.000 0.000 0.000

10
Lattice="-4.159 4.159 4.547 4.159 -4.159 4.547 4.159 4.159 -4.547" Properties=species:S:1:pos:R:3 comment="Rb2MoSeCl6 GGA-PBE relaxed" n_ef_per_ev_cell=4.26 vol_a3_per_cell=314.5 e_form_raw_ev_per_atom=-0.977 pbc="T T T"
Rb 4.159 0.000 2.273
Rb 0.000 4.159 2.273
Mo 0.000 0.000 0.000
Se 0.000 0.000 4.547
Cl 1.733 1.733 0.000
Cl 2.425 -2.425 4.547
Cl 0.000 0.000 2.283
Cl 0.000 0.000 6.811
Cl -2.425 2.425 4.547
Cl 2.425 2.425 4.547

6
Lattice="0.000 4.436 4.436 4.436 0.000 4.436 4.436 4.436 0.000" Properties=species:S:1:pos:R:3 comment="Y4MoBr GGA-PBE relaxed" n_ef_per_ev_cell=7.80 vol_a3_per_cell=174.5 e_form_raw_ev_per_atom=0.834 pbc="T T T"
Y 3.352 3.352 3.352
Y 5.519 5.519 3.352
Y 5.519 3.352 5.519
Y 3.352 5.519 5.519
Mo 6.653 6.653 6.653
Br 0.000 0.000 0.000

8
Lattice="3.560 0.000 0.000 -0.007 6.146 0.000 -1.780 -0.972 11.625" Properties=species:S:1:pos:R:3 comment="Pm3Er4Tm GGA-PBE relaxed" formation_enthalpy_0k_ev_per_atom=0.0209 n_ef_per_ev_cell=11.29 vol_a3_per_cell=254.4 e_above_lowest_polymorph_ev_per_atom=0.0054 pbc="T T T"
Pm 0.000 0.000 0.000
Pm -0.005 2.065 2.911
Pm 1.779 3.109 8.715
Er -0.005 4.123 5.807
Er 0.001 0.033 8.685
Er 1.773 5.142 2.941
Er 1.779 1.051 5.818
Tm 1.777 3.073 0.000

5
Lattice="5.064 0.000 0.000 0.000 5.064 0.000 0.000 0.000 5.217" Properties=species:S:1:pos:R:3 comment="NaSrCu2W GGA-PBE relaxed" formation_enthalpy_0k_ev_per_atom=2.1215 n_ef_per_ev_cell=4.04 vol_a3_per_cell=133.8 pbc="T T T"
Na 0.000 0.000 0.000
Sr 0.000 0.000 2.609
Cu 0.000 2.532 2.609
Cu 2.532 0.000 2.609
W 2.532 2.532 0.000